Here is a geometry-optimized Rb2ThF6 structure from Alexandria. Energies are from PBEsol.

Geometry as POSCAR:
```
Rb2ThF6
1.0
-2.6770 -2.5585 0.8895
4.2669 -2.9200 4.4428
-4.1277 5.0276 2.0387
F Th Rb
6 1 2
Cartesian
-2.7462 3.3449 1.3564 F
0.0466 0.7054 2.1694 F
-1.2300 0.3631 5.4952 F
2.8388 -1.9427 2.9558 F
-2.2498 -0.1692 0.8948 F
-0.3964 -1.9239 1.4256 F
0.0000 0.0000 0.0000 Th
-2.6680 1.0992 3.2848 Rb
0.1303 -1.5500 4.0862 Rb
```

Calculated values
E_form (uncorrected): -32.59 eV per formula unit
Total moment: 0.00 μB/atom
Space group: P-62m
Energy: -6.03 eV/atom
Calculated density: 5.6 g/cm3

Here is a geometry-optimized MoPRh2 structure from Alexandria. Energies are from PBEsol.

Geometry as POSCAR:
```
MoPRh2
1.0
-0.0597 -1.6759 2.2807
4.4816 0.0870 0.1812
-2.2020 4.2524 1.3102
Mo P Rh
1 1 2
Cartesian
2.0127 -0.5684 1.3919 Mo
2.6069 1.8009 1.3915 P
2.0926 2.3655 3.5498 Rh
-0.0615 0.9345 2.4420 Rh
```

Calculated values
Total moment: 0.00 μB/atom
Space group: Cm
Energy: -8.85 eV/atom
Calculated density: 10.1 g/cm3
E_form: -394 meV/atom

Here is a geometry-optimized Mg4CrNi structure from Alexandria. Energies are from PBEsol.

Geometry as POSCAR:
```
Mg4CrNi
1.0
-3.7417 1.7733 -3.4758
-2.6087 -3.5047 -3.1839
-5.2259 -1.0735 0.8738
Mg Ni Cr
4 1 1
Cartesian
-6.2108 -0.1688 -3.9047 Mg
-4.3453 -1.0528 -2.1718 Mg
-6.9507 -1.5880 -1.7361 Mg
-5.6459 -2.8001 -3.7592 Mg
-8.6823 -2.1037 -4.3394 Ni
0.0000 0.0000 0.0000 Cr
```

Calculated values
Total moment: 0.70 μB/atom
Space group: F-43m
Energy: -3.28 eV/atom
Calculated density: 3.1 g/cm3
E_form: 602 meV/atom

Here is a geometry-optimized Mn2CuPb structure from Alexandria. Energies are from PBEsol.

Geometry as POSCAR:
```
Mn2CuPb
1.0
4.3398 0.0000 0.0000
2.1699 3.7583 0.0000
2.1699 1.2528 3.5434
Mn Pb Cu
2 1 1
Cartesian
6.5096 3.7583 2.6576 Mn
0.0000 0.0000 0.0000 Mn
2.1699 1.2528 0.8859 Pb
4.3398 2.5056 1.7717 Cu
```

Calculated values
Total moment: 1.13 μB/atom
Space group: F-43m
Energy: -6.36 eV/atom
Calculated density: 10.9 g/cm3
E_form: 603 meV/atom

Here is a geometry-optimized TeAuSe2 structure from Alexandria. Energies are from PBEsol.

Geometry as POSCAR:
```
TeAuSe2
1.0
-2.0152 1.4897 3.0852
-3.0014 -3.8311 -0.1106
3.7762 -0.9455 2.9231
Te Au Se
1 1 2
Cartesian
-0.6202 -1.6434 2.9488 Te
-1.0076 0.7449 1.5426 Au
2.2120 -1.6115 2.2229 Se
-1.4373 -3.1651 0.5895 Se
```

Calculated values
E_form (uncorrected): -0.05 eV per formula unit
Total moment: 0.00 μB/atom
Space group: Cmmm
Excess energy over the best structure of this formula in the dataset: 0.07 kcal/mol of atoms
Energy: -3.80 eV/atom
Calculated density: 9.0 g/cm3

Here is a geometry-optimized NiIrSe2 structure from Alexandria. Energies are from PBEsol.

Geometry as POSCAR:
```
NiIrSe2
1.0
3.4845 0.0000 0.0000
0.0000 4.3019 -0.0190
0.0000 -1.0241 4.3687
Ir Ni Se
1 1 2
Cartesian
1.7422 -0.5121 2.1843 Ir
1.7422 2.1509 -0.0095 Ni
0.0000 2.5207 3.3420 Se
0.0000 0.7571 1.0077 Se
```

Calculated values
E_form (uncorrected): 1.08 eV per formula unit
Total moment: 0.00 μB/atom
Space group: P2/m
Energy: -5.65 eV/atom
Calculated density: 10.4 g/cm3

Here is a geometry-optimized ZrScNi6 structure from Alexandria. Energies are from PBEsol.

Geometry as POSCAR:
```
ZrScNi6
1.0
6.3574 -0.0032 0.0000
-2.1074 5.9979 0.0000
0.0000 0.0000 10.3688
Ni Zr Sc
24 4 4
Cartesian
0.0055 2.2424 9.0682 Ni
2.1288 5.2529 3.8933 Ni
0.0000 0.0000 0.0000 Ni
2.1357 5.2472 9.0682 Ni
2.1142 0.7475 9.0682 Ni
2.1142 0.7475 1.3006 Ni
2.1212 0.7417 3.8933 Ni
2.1250 2.9973 5.1844 Ni
-0.0022 2.2471 6.4755 Ni
4.2444 3.7522 9.0682 Ni
2.1250 2.9973 0.0000 Ni
-0.0022 2.2471 3.8933 Ni
2.1212 0.7417 6.4755 Ni
0.0051 4.5002 7.7714 Ni
4.2521 3.7476 3.8933 Ni
4.2448 1.4945 7.7714 Ni
4.2444 3.7522 1.3006 Ni
0.0000 0.0000 5.1844 Ni
4.2521 3.7476 6.4755 Ni
2.1288 5.2529 6.4755 Ni
0.0051 4.5002 2.5974 Ni
0.0055 2.2424 1.3006 Ni
4.2448 1.4945 2.5974 Ni
2.1357 5.2472 1.3006 Ni
2.1250 2.9973 2.6170 Zr
4.2362 1.5006 0.0000 Zr
2.1250 2.9973 7.7517 Zr
0.0137 4.4941 0.0000 Zr
0.0149 4.4933 5.1844 Sc
4.2350 1.5014 5.1844 Sc
0.0000 0.0000 2.6145 Sc
0.0000 0.0000 7.7543 Sc
```

Calculated values
Total moment: 0.00 μB/atom
Space group: Cmmm
Energy: -7.03 eV/atom
Calculated density: 8.2 g/cm3
E_form: -452 meV/atom

Here is a geometry-optimized MgIn2P structure from Alexandria. Energies are from PBEsol.

Geometry as POSCAR:
```
MgIn2P
1.0
3.4582 0.0000 0.0000
0.0000 3.4582 0.0000
0.0000 0.0000 7.2183
In Mg P
2 1 1
Cartesian
0.0000 0.0000 5.1632 In
0.0000 0.0000 2.0551 In
1.7291 1.7291 0.0000 Mg
1.7291 1.7291 3.6091 P
```

Calculated values
Total moment: 0.00 μB/atom
Space group: P4/mmm
Excess energy over the best structure of this formula in the dataset: 4.61 kcal/mol of atoms
Energy: -3.30 eV/atom
Calculated density: 5.5 g/cm3
E_form: 72 meV/atom

Q: Among the records above, which one has the lowest calculated density?
A: Mg4CrNi

Q: Number 7 is which compound?
A: ZrScNi6

Q: Which value of calculated density does entry 6 give?
A: 10.4 g/cm3

What did the third record say?
Here is a geometry-optimized Mg4CrNi structure from Alexandria. Energies are from PBEsol.

Geometry as POSCAR:
```
Mg4CrNi
1.0
-3.7417 1.7733 -3.4758
-2.6087 -3.5047 -3.1839
-5.2259 -1.0735 0.8738
Mg Ni Cr
4 1 1
Cartesian
-6.2108 -0.1688 -3.9047 Mg
-4.3453 -1.0528 -2.1718 Mg
-6.9507 -1.5880 -1.7361 Mg
-5.6459 -2.8001 -3.7592 Mg
-8.6823 -2.1037 -4.3394 Ni
0.0000 0.0000 0.0000 Cr
```

Calculated values
Total moment: 0.70 μB/atom
Space group: F-43m
Energy: -3.28 eV/atom
Calculated density: 3.1 g/cm3
E_form: 602 meV/atom